A:
{"formula": "Ir2WCl", "functional": "PBE", "state": "optimized geometry", "total_magnetization_mub_per_fu": 0.000, "cell": [[-1.539, -3.063, 3.221], [3.774, -2.661, 0.896], [-0.330, 4.692, 0.058]], "species": ["Cl", "W", "Ir", "Ir"], "frac_coords": [[0.250, 0.750, 0.500], [0.750, 0.250, 0.500], [0.000, 0.000, 0.000], [0.500, 0.500, 0.000]]}

B:
{"formula": "Ir2WCl", "functional": "PBE", "state": "optimized geometry", "total_magnetization_mub_per_fu": 0.000, "cell": [[2.830, 0.004, 0.000], [-1.458, 2.425, 0.000], [0.000, 0.000, 9.838]], "species": ["Cl", "W", "Ir", "Ir"], "frac_coords": [[0.500, 0.500, 0.706], [0.000, 0.000, 0.498], [0.500, 0.500, 0.265], [0.000, 0.000, 0.031]]}

C:
{"formula": "Ir2WCl", "functional": "PBE", "state": "optimized geometry", "total_magnetization_mub_per_fu": 0.000, "cell": [[-2.476, 4.769, 2.251], [-4.165, 3.191, -2.532], [2.068, -4.949, 2.273]], "species": ["Ir", "Cl", "Ir", "W"], "frac_coords": [[0.973, 0.973, 0.000], [0.250, 0.750, 0.500], [0.527, 0.527, 0.000], [0.750, 0.250, 0.500]]}

Sorted by energy, starting with the most stable: C, B, A.

A:
{"formula": "Ir2WCl", "functional": "PBE", "state": "optimized geometry", "total_magnetization_mub_per_fu": 0.000, "cell": [[-4.125, -2.745, -0.770], [-1.969, -4.545, -0.781], [-0.470, -0.591, 4.470]], "species": ["Cl", "W", "Ir", "Ir"], "frac_coords": [[0.250, 0.250, 0.250], [0.750, 0.750, 0.750], [0.475, 0.475, 0.507], [0.025, 0.025, 0.993]]}

B:
{"formula": "Ir2WCl", "functional": "PBE", "state": "optimized geometry", "total_magnetization_mub_per_fu": 0.000, "cell": [[-1.497, -1.727, 1.721], [0.965, -2.274, -1.442], [6.139, -0.478, 4.860]], "species": ["Ir", "W", "Cl", "Ir"], "frac_coords": [[0.000, 0.000, 0.479], [0.500, 0.500, 0.250], [0.500, 0.500, 0.750], [0.000, 0.000, 0.021]]}

Sorted by energy, starting with the most stable: B, A.

A:
{"formula": "IrW3Cl", "functional": "PBE", "state": "optimized geometry", "total_magnetization_mub_per_fu": 1.015, "cell": [[-3.132, -3.013, -2.108], [3.673, -2.428, -1.987], [0.180, -2.892, 3.865]], "species": ["W", "Ir", "Cl", "W", "W"], "frac_coords": [[0.500, 0.000, 0.000], [0.000, 0.000, 0.000], [0.500, 0.500, 0.500], [0.000, 0.500, 0.000], [0.000, 0.000, 0.500]]}

B:
{"formula": "IrW3Cl", "functional": "PBE", "state": "optimized geometry", "total_magnetization_mub_per_fu": 0.000, "cell": [[-1.123, -1.284, 4.006], [-1.452, -3.773, -1.616], [3.948, -1.753, 0.545]], "species": ["Ir", "Cl", "W", "W", "W"], "frac_coords": [[0.500, 0.500, 0.500], [0.000, 0.000, 0.000], [0.500, 0.000, 0.000], [0.000, 0.500, 0.000], [0.000, 0.000, 0.500]]}

Sorted by energy, starting with the most stable: B, A.